A:
Density functional theory data (GGA-PBE) for a relaxed structure of BaCd2Rh2.

Cell: 4.878 4.878 6.186 Å, 66.78 66.78 90.00°
Sites, in units of the cell vectors:
Cd: 0.360 0.360 0.280
Rh: 0.250 0.750 0.500
Ba: 0.000 0.000 0.000
Rh: 0.750 0.250 0.500
Cd: 0.640 0.640 0.720

Results
The density is 7.7 Mg/m³. As for the space-group type: I4/mmm.


B:
Density functional theory data (GGA-PBE) for a relaxed structure of BaCd2Rh2.

Cell: 8.096 8.096 3.236 Å, 90.00 90.00 90.00°
Sites, in units of the cell vectors:
Ba: 0.500 0.500 0.000
Rh: 0.155 0.345 0.000
Cd: 0.863 0.363 0.500
Rh: 0.345 0.845 0.000
Cd: 0.637 0.863 0.500
Cd: 0.137 0.637 0.500
Rh: 0.655 0.155 0.000
Cd: 0.363 0.137 0.500
Ba: 0.000 0.000 0.000
Rh: 0.845 0.655 0.000

Results
The density is 8.9 Mg/m³. As for the space-group type: P4/mbm.


C:
Density functional theory data (GGA-PBE) for a relaxed structure of BaCd2Rh2.

Cell: 8.238 8.238 3.147 Å, 90.00 90.00 90.00°
Sites, in units of the cell vectors:
Cd: 0.875 0.625 0.000
Rh: 0.169 0.669 0.500
Cd: 0.375 0.875 0.000
Rh: 0.831 0.331 0.500
Cd: 0.125 0.375 0.000
Ba: 0.000 0.000 0.000
Rh: 0.331 0.169 0.500
Rh: 0.669 0.831 0.500
Ba: 0.500 0.500 0.000
Cd: 0.625 0.125 0.000

Results
The density is 8.8 Mg/m³. As for the space-group type: P4/mbm.


D:
Density functional theory data (GGA-PBE) for a relaxed structure of BaCd2Rh2.

Cell: 4.572 4.572 6.529 Å, 69.51 69.51 90.00°
Sites, in units of the cell vectors:
Rh: 0.610 0.610 0.780
Cd: 0.250 0.750 0.500
Rh: 0.390 0.390 0.220
Cd: 0.750 0.250 0.500
Ba: 0.000 0.000 0.000

Results
The density is 8.0 Mg/m³. As for the space-group type: I4/mmm.


D is favored, and the nearest alternative lies 6.4 kJ/mol of atoms above it.


A:
Density functional theory data (GGA-PBE) for a relaxed structure of BaCd4Rh.

Cell: 5.158 5.158 7.855 Å, 89.93 90.17 90.00°
Sites, in units of the cell vectors:
Cd: 0.500 0.500 0.500
Cd: 0.000 0.500 0.175
Ba: 0.500 0.000 0.000
Cd: 0.000 0.500 0.825
Rh: 0.000 0.500 0.500
Cd: 0.000 0.000 0.500

Results
The density is 5.5 Mg/m³. As for the space-group type: P-1.


B:
Density functional theory data (GGA-PBE) for a relaxed structure of BaCd4Rh.

Cell: 4.462 7.802 8.781 Å, 90.00 90.00 90.00°
Sites, in units of the cell vectors:
Cd: 0.000 0.000 0.000
Ba: 0.000 0.596 0.750
Ba: 0.000 0.404 0.250
Cd: 0.500 0.037 0.250
Cd: 0.500 0.296 0.563
Cd: 0.500 0.704 0.063
Rh: 0.000 0.797 0.250
Cd: 0.000 0.000 0.500
Cd: 0.500 0.704 0.437
Cd: 0.500 0.296 0.937
Rh: 0.000 0.203 0.750
Cd: 0.500 0.963 0.750

Results
The density is 7.5 Mg/m³. As for the space-group type: Pmma.


B is favored, and the nearest alternative lies 24.0 kJ/mol of atoms above it.


A:
Density functional theory data (GGA-PBE) for a relaxed structure of Ba4CdRh.

Cell: 6.973 6.973 6.973 Å, 60.00 60.00 60.00°
Sites, in units of the cell vectors:
Ba: 0.374 0.374 0.878
Cd: 0.750 0.750 0.750
Ba: 0.878 0.374 0.374
Ba: 0.374 0.374 0.374
Ba: 0.374 0.878 0.374
Rh: 0.000 0.000 0.000

Results
The density is 5.3 Mg/m³. As for the space-group type: F-43m.


B:
Density functional theory data (GGA-PBE) for a relaxed structure of Ba4CdRh.

Cell: 7.305 8.812 8.812 Å, 112.16 98.78 98.78°
Sites, in units of the cell vectors:
Cd: 0.250 0.369 0.631
Rh: 0.750 0.001 0.999
Rh: 0.250 0.999 0.001
Ba: 0.091 0.366 0.209
Ba: 0.409 0.791 0.634
Ba: 0.036 0.942 0.267
Ba: 0.964 0.058 0.733
Ba: 0.536 0.267 0.942
Ba: 0.464 0.733 0.058
Ba: 0.909 0.634 0.791
Cd: 0.750 0.631 0.369
Ba: 0.591 0.209 0.366

Results
The density is 5.0 Mg/m³. As for the space-group type: C2/c.


B is favored, and the nearest alternative lies 84.7 kJ/mol of atoms above it.


A:
Density functional theory data (GGA-PBE) for a relaxed structure of Ba4Cd2Rh.

Cell: 4.859 7.169 9.085 Å, 102.42 105.51 90.00°
Sites, in units of the cell vectors:
Cd: 0.763 0.627 0.526
Ba: 0.573 0.263 0.146
Ba: 0.427 0.737 0.854
Rh: 0.000 0.000 0.000
Cd: 0.237 0.373 0.474
Ba: 0.853 0.167 0.706
Ba: 0.147 0.833 0.294

Results
The density is 4.9 Mg/m³. As for the space-group type: C2/m.


B:
Density functional theory data (GGA-PBE) for a relaxed structure of Ba4Cd2Rh.

Cell: 5.920 5.920 9.950 Å, 107.31 107.31 90.00°
Sites, in units of the cell vectors:
Ba: 0.174 0.174 0.348
Cd: 0.626 0.626 0.252
Rh: 0.000 0.000 0.000
Cd: 0.374 0.374 0.748
Ba: 0.500 0.000 0.000
Ba: 0.000 0.500 0.000
Ba: 0.826 0.826 0.652

Results
The density is 4.6 Mg/m³. As for the space-group type: I4/mmm.


A is favored, and the nearest alternative lies 6.5 kJ/mol of atoms above it.


A:
Density functional theory data (GGA-PBE) for a relaxed structure of BaTlCd2Rh.

Cell: 5.290 5.290 5.260 Å, 90.00 90.00 90.00°
Sites, in units of the cell vectors:
Cd: 0.500 0.000 0.000
Ba: 0.500 0.500 0.500
Cd: 0.000 0.500 0.000
Rh: 0.000 0.000 0.000
Tl: 0.000 0.000 0.500

Results
The density is 7.6 Mg/m³. As for the space-group type: P4/mmm.


B:
Density functional theory data (GGA-PBE) for a relaxed structure of BaTlCd2Rh.

Cell: 5.318 5.318 5.715 Å, 90.00 90.00 90.00°
Sites, in units of the cell vectors:
Rh: 0.000 0.000 0.000
Cd: 0.500 0.000 0.000
Cd: 0.000 0.500 0.000
Ba: 0.000 0.000 0.500
Tl: 0.500 0.500 0.500

Results
The density is 6.9 Mg/m³. As for the space-group type: P4/mmm.


A is favored, and the nearest alternative lies 19.4 kJ/mol of atoms above it.


A:
Density functional theory data (GGA-PBE) for a relaxed structure of Ba2CdS.

Cell: 5.765 5.765 5.765 Å, 60.00 60.00 60.00°
Sites, in units of the cell vectors:
S: 0.000 0.000 0.000
Ba: 0.750 0.750 0.750
Ba: 0.250 0.250 0.250
Cd: 0.500 0.500 0.500

Results
The density is 5.1 Mg/m³. As for the space-group type: Fm-3m.


B:
Density functional theory data (GGA-PBE) for a relaxed structure of Ba2CdS.

Cell: 4.023 4.023 8.263 Å, 90.00 90.00 90.00°
Sites, in units of the cell vectors:
Ba: 0.000 0.000 0.778
Cd: 0.500 0.500 0.500
Ba: 0.000 0.000 0.222
S: 0.500 0.500 0.000

Results
The density is 5.2 Mg/m³. As for the space-group type: P4/mmm.


B is favored, and the nearest alternative lies 24.7 kJ/mol of atoms above it.


A:
Density functional theory data (GGA-PBE) for a relaxed structure of Ba2CdS.

Cell: 8.667 8.667 7.680 Å, 55.65 55.65 90.00°
Sites, in units of the cell vectors:
Ba: 0.577 0.125 0.250
S: 0.250 0.750 0.500
Ba: 0.173 0.625 0.250
S: 0.500 0.500 0.000
Cd: 0.000 0.000 0.000
Ba: 0.875 0.827 0.750
Cd: 0.750 0.250 0.500
Ba: 0.375 0.423 0.750

Results
The density is 4.0 Mg/m³. As for the space-group type: I-42d.


B:
Density functional theory data (GGA-PBE) for a relaxed structure of Ba2CdS.

Cell: 4.353 4.353 11.229 Å, 78.82 78.82 60.00°
Sites, in units of the cell vectors:
Cd: 0.000 0.000 0.000
S: 0.500 0.500 0.500
Ba: 0.111 0.111 0.668
Ba: 0.889 0.889 0.332

Results
The density is 3.9 Mg/m³. As for the space-group type: R-3m.


A is favored, and the nearest alternative lies 8.6 kJ/mol of atoms above it.


A:
Density functional theory data (GGA-PBE) for a relaxed structure of BaCd3S.

Cell: 6.601 6.601 6.601 Å, 90.00 90.00 90.00°
Sites, in units of the cell vectors:
Cd: 0.000 0.000 0.500
S: 0.500 0.500 0.500
Cd: 0.000 0.500 0.000
Cd: 0.500 0.000 0.000
Ba: 0.000 0.000 0.000

Results
The density is 2.9 Mg/m³. As for the space-group type: Pm-3m.


B:
Density functional theory data (GGA-PBE) for a relaxed structure of BaCd3S.

Cell: 5.453 5.453 5.453 Å, 90.00 90.00 90.00°
Sites, in units of the cell vectors:
Cd: 0.000 0.500 0.000
Ba: 0.500 0.500 0.500
S: 0.000 0.000 0.000
Cd: 0.500 0.000 0.000
Cd: 0.000 0.000 0.500

Results
The density is 5.2 Mg/m³. As for the space-group type: Pm-3m.


B is favored, and the nearest alternative lies 74.0 kJ/mol of atoms above it.